VCdI after structural relaxation, computed with GGA-PBE.

POSCAR file:
```
VCdI
1.0
-1.9272 -3.4783 2.4208
3.1052 -2.1150 -0.5669
8.2233 7.9782 15.2768
I V Cd
4 4 4
Direct
0.7744 0.0000 0.8372
0.2256 0.0000 0.1628
0.7744 0.5000 0.3372
0.2256 0.5000 0.6628
0.1629 0.0000 0.5377
0.8371 0.0000 0.4623
0.1629 0.5000 0.0377
0.8371 0.5000 0.9623
0.3091 0.0000 0.9377
0.6909 0.0000 0.0623
0.3091 0.5000 0.4377
0.6909 0.5000 0.5623
```

VCd3I after structural relaxation, computed with GGA-PBE.

POSCAR file:
```
VCd3I
1.0
5.8941 0.0000 0.0000
0.0000 5.8941 0.0000
0.0000 0.0000 5.8941
I Cd V
1 3 1
Direct
0.0000 0.0000 0.0000
0.0000 0.5000 0.0000
0.0000 0.0000 0.5000
0.5000 0.0000 0.0000
0.5000 0.5000 0.5000
```

VCdI after structural relaxation, computed with GGA-PBE.

POSCAR file:
```
VCdI
1.0
6.0070 0.0000 -0.0149
0.0000 4.7597 0.0000
-3.9437 0.0000 11.4501
I V Cd
4 4 4
Direct
0.6720 0.0000 0.9848
0.6720 0.5000 0.4848
0.0667 0.0000 0.3534
0.0667 0.5000 0.8534
0.9088 0.0000 0.5655
0.9088 0.5000 0.0655
0.0986 0.0000 0.7188
0.0986 0.5000 0.2188
0.2541 0.0000 0.1315
0.2541 0.5000 0.6315
0.5710 0.0000 0.6903
0.5710 0.5000 0.1903
```

VCdI after structural relaxation, computed with GGA-PBE.

POSCAR file:
```
VCdI
1.0
4.0888 0.0000 0.0125
0.0000 3.8603 0.0000
-0.2325 0.0000 10.7153
I V Cd
2 2 2
Direct
0.2561 0.0000 0.4137
0.7230 0.5000 0.0885
0.0875 0.5000 0.7543
0.0499 0.5000 0.5803
0.5801 0.0000 0.6889
0.2832 0.0000 0.9441
```

VCdI after structural relaxation, computed with GGA-PBE.

POSCAR file:
```
VCdI
1.0
-3.8620 3.6940 0.3307
-3.7005 -3.8685 -0.0033
0.5686 -0.5549 12.8372
I V Cd
4 4 4
Direct
0.0000 0.0000 0.0142
0.5000 0.5000 0.5142
0.0000 0.0000 0.6719
0.5000 0.5000 0.1719
0.6776 0.0000 0.8431
0.3224 0.0000 0.8431
0.1776 0.5000 0.3431
0.8224 0.5000 0.3431
0.0000 0.0000 0.3433
0.5000 0.5000 0.8433
0.0000 0.5000 0.8430
0.5000 0.0000 0.3430
```

VCdI after structural relaxation, computed with GGA-PBE.

POSCAR file:
```
VCdI
1.0
6.7920 0.0000 0.0078
0.0000 5.5084 0.0000
-6.5106 0.0000 8.4694
I V Cd
4 4 4
Direct
0.1422 0.2761 0.3850
0.8578 0.2761 0.6150
0.1422 0.7761 0.8850
0.8578 0.7761 0.1150
0.3327 0.7756 0.4590
0.6673 0.7756 0.5410
0.3327 0.2756 0.9590
0.6673 0.2756 0.0410
0.4936 0.0278 0.2493
0.5064 0.0278 0.7507
0.4936 0.5278 0.7493
0.5064 0.5278 0.2507
```

VCd2I8 after structural relaxation, computed with GGA-PBE.

POSCAR file:
```
VCd2I8
1.0
7.0746 -0.0332 -0.1532
-0.0488 7.3518 -3.8490
-0.0860 0.0669 9.0748
V Cd I
1 2 8
Direct
0.0000 0.0000 0.0000
0.5913 0.1608 0.3216
0.4087 0.8392 0.6784
0.2349 0.7068 0.8868
0.7651 0.8200 0.1132
0.1855 0.1526 0.3053
0.8145 0.8474 0.6947
0.2349 0.1800 0.8868
0.7651 0.2932 0.1132
0.6894 0.3258 0.6517
0.3106 0.6742 0.3483
```

VCdI after structural relaxation, computed with GGA-PBE.

POSCAR file:
```
VCdI
1.0
-2.6097 -2.2011 -1.1545
2.4610 -4.6659 -2.2082
-0.8413 -5.5844 6.9421
I V Cd
2 2 2
Direct
0.0638 0.6952 0.6843
0.9362 0.3048 0.3157
0.4223 0.5515 0.0996
0.5777 0.4485 0.9004
0.7009 0.9655 0.1313
0.2991 0.0345 0.8687
```

VCdI after structural relaxation, computed with GGA-PBE.

POSCAR file:
```
VCdI
1.0
4.4148 0.0000 0.0109
0.0000 4.4773 0.0000
-2.5722 0.0000 16.2439
I V Cd
4 4 4
Direct
0.6049 0.0000 0.0028
0.6049 0.5000 0.5028
0.2110 0.0000 0.6508
0.2110 0.5000 0.1508
0.8399 0.0000 0.4180
0.8399 0.5000 0.9180
0.2273 0.0000 0.4802
0.2273 0.5000 0.9802
0.8092 0.0000 0.8066
0.8092 0.5000 0.3066
0.2875 0.0000 0.3054
0.2875 0.5000 0.8054
```

VCdI after structural relaxation, computed with GGA-PBE.

POSCAR file:
```
VCdI
1.0
-3.8610 -0.8713 5.4005
2.8920 -0.3780 2.0066
0.7754 13.8195 1.4860
I V Cd
4 4 4
Direct
0.5109 0.0000 0.7556
0.5109 0.5000 0.2556
0.5952 0.0000 0.0149
0.5952 0.5000 0.5149
0.2570 0.0000 0.3288
0.2570 0.5000 0.8288
0.2947 0.0000 0.4649
0.2947 0.5000 0.9649
0.1068 0.0000 0.1150
0.1068 0.5000 0.6150
0.9495 0.0000 0.8809
0.9495 0.5000 0.3809
```

CdW3I after structural relaxation, computed with GGA-PBE.

POSCAR file:
```
CdW3I
1.0
-0.1261 1.4493 -4.6594
3.2285 -3.4702 -1.1668
-3.6589 -3.1119 -0.8690
I W Cd
1 3 1
Direct
0.0000 0.0000 0.0000
0.0000 0.5000 0.0000
0.0000 0.0000 0.5000
0.5000 0.0000 0.0000
0.5000 0.5000 0.5000
```

Cd3WI after structural relaxation, computed with GGA-PBE.

POSCAR file:
```
Cd3WI
1.0
-2.6094 4.8293 -1.0148
-0.9048 -1.5967 -5.2719
-4.8511 -2.2998 1.5292
I W Cd
1 1 3
Direct
0.5000 0.5000 0.5000
0.0000 0.0000 0.0000
0.0000 0.5000 0.0000
0.0000 0.0000 0.5000
0.5000 0.0000 0.0000
```

no.,formation energy without anion corrections (meV per atom),size of the total moment (μB per formula unit)
1,150.6,0.00
2,1253.3,4.06
3,156.8,0.00
4,194.2,0.00
5,207.0,0.45
6,203.0,0.00
7,-410.8,0.98
8,183.5,0.00
9,219.2,0.00
10,161.5,0.00
11,2637.5,0.00
12,1002.6,3.79